Record 1
The following is a DFT calculation (PBE-GGA) of a relaxed structure of KGeB.

Properties
DOS(E_F): 0.426 states/eV per atom
energy of formation: 0.245 eV per atom
crystal system: triclinic
space group: No. 1

Structure (extended XYZ):
```
6
Lattice="10.548 0.347 0.020 -0.431 3.554 0.033 -1.118 -1.985 4.332" Properties=species:S:1:pos:R:3 pbc="T T T"
Ge 6.862 3.217 1.034
Ge 5.041 1.190 1.350
B 5.838 -0.531 2.553
B 5.548 -0.580 4.172
K 2.692 -0.915 2.578
K 8.216 1.558 3.505
```

Record 2
The following is a DFT calculation (PBE-GGA) of a relaxed structure of KGeB.

Properties
DOS(E_F): 0.101 states/eV per atom
energy of formation: 0.549 eV per atom
crystal system: hexagonal
space group: No. 194

Structure (extended XYZ):
```
6
Lattice="4.808 -2.776 0.000 0.000 5.552 0.000 0.000 0.000 7.407" Properties=species:S:1:pos:R:3 pbc="T T T"
Ge 0.000 0.000 0.000
Ge 0.000 0.000 3.704
B 0.000 0.000 1.852
B 0.000 0.000 5.555
K 3.205 0.000 5.555
K 1.603 2.776 1.852
```

Record 3
The following is a DFT calculation (PBE-GGA) of a relaxed structure of KGeB.

Properties
DOS(E_F): 0.378 states/eV per atom
energy of formation: 0.167 eV per atom
crystal system: triclinic
space group: No. 2

Structure (extended XYZ):
```
6
Lattice="4.965 -0.004 -0.006 0.002 4.858 0.005 -2.478 -2.442 6.854" Properties=species:S:1:pos:R:3 pbc="T T T"
K -0.278 -1.051 4.642
K 2.206 1.388 1.664
B 2.207 -1.849 6.576
B 2.207 -0.262 6.578
Ge -0.273 3.818 1.020
Ge 2.202 1.375 5.290
```

Record 4
The following is a DFT calculation (PBE-GGA) of a relaxed structure of KGeB.

Properties
DOS(E_F): 0.352 states/eV per atom
energy of formation: 0.457 eV per atom
crystal system: orthorhombic
space group: No. 62

Structure (extended XYZ):
```
12
Lattice="-1.938 -4.841 -4.976 3.438 -0.070 -1.271 2.266 -7.636 6.546" Properties=species:S:1:pos:R:3 pbc="T T T"
Ge 3.134 -11.484 1.176
Ge 0.631 -1.062 -0.877
Ge 3.132 -5.792 0.859
Ge 0.633 -6.755 -0.560
B -0.646 -4.556 -4.139
B 4.411 -7.991 4.438
B 2.575 -7.488 -0.556
B 1.191 -5.058 0.855
K 2.059 -4.048 -2.138
K 1.706 -8.499 2.436
K 3.241 -2.344 0.965
K 0.524 -10.202 -0.667
```

Question: What is the formula in the third record?
Answer: KGeB